(1)
## ScSnPdRh (GGA-PBE)

Data for ScSnPdRh after structural relaxation.

Lattice parameters (Å, degrees): 4.609 4.609 4.609 60.00 60.00 60.00
Sites, in units of the cell vectors:
Sc (0.500, 0.500, 0.500)
Rh (0.750, 0.750, 0.750)
Sn (0.000, 0.000, 0.000)
Pd (0.250, 0.250, 0.250)

Calculated values
- DOS(E_F): 0.633 states/eV per atom
- Formation enthalpy at 0 K: -852.9 meV per atom
- Electronic total energy: -26.29 eV for the cell shown
- SG: F-43m (216)


(2)
## ZnCrW2 (GGA-PBE)

Data for ZnCrW2 after structural relaxation.

Lattice parameters (Å, degrees): 9.225 9.225 9.225 17.26 17.26 17.26
Sites, in units of the cell vectors:
Cr (0.750, 0.750, 0.750)
W (0.002, 0.002, 0.002)
W (0.498, 0.498, 0.498)
Zn (0.250, 0.250, 0.250)

Calculated values
- DOS(E_F): 0.829 states/eV per atom
- Formation enthalpy at 0 K: 424.6 meV per atom
- Electronic total energy: -35.11 eV for the cell shown
- SG: R-3m (166)


Please write out number 1 again, unchanged.
## ScSnPdRh (GGA-PBE)

Data for ScSnPdRh after structural relaxation.

Lattice parameters (Å, degrees): 4.609 4.609 4.609 60.00 60.00 60.00
Sites, in units of the cell vectors:
Sc (0.500, 0.500, 0.500)
Rh (0.750, 0.750, 0.750)
Sn (0.000, 0.000, 0.000)
Pd (0.250, 0.250, 0.250)

Calculated values
- DOS(E_F): 0.633 states/eV per atom
- Formation enthalpy at 0 K: -852.9 meV per atom
- Electronic total energy: -26.29 eV for the cell shown
- SG: F-43m (216)


Q: Look up the electronic total energy of the second one.
A: -35.11 eV for the cell shown


Q: Which of these has the lowest formation enthalpy at 0 K?
A: ScSnPdRh